(1)
First-principles (GGA-PBE) data for an optimized crystal structure of NdCo9Si4, as listed in the Alexandria database.

abc: 7.9262 7.9262 7.9262
angles: 121.55 121.55 87.34
Sites, in units of the cell vectors:
1 Nd 0.2500 0.2500 0.0000
2 Nd 0.7500 0.7500 0.0000
3 Co 0.0000 0.5000 0.5000
4 Co 0.0504 0.5504 0.2406
5 Co 0.0701 0.8005 0.8706
6 Co 0.1902 0.9496 0.5000
7 Co 0.1995 0.0701 0.2696
8 Co 0.3005 0.5701 0.8706
9 Co 0.3098 0.8098 0.7594
10 Co 0.4299 0.3005 0.7304
11 Co 0.4496 0.6902 0.5000
12 Co 0.5000 0.0000 0.5000
13 Co 0.5504 0.3098 0.5000
14 Co 0.5701 0.6995 0.2696
15 Co 0.6902 0.1902 0.2406
16 Co 0.6995 0.4299 0.1294
17 Co 0.8005 0.9299 0.7304
18 Co 0.8098 0.0504 0.5000
19 Co 0.9299 0.1995 0.1294
20 Co 0.9496 0.4496 0.7594
21 Si 0.0472 0.2097 0.5000
22 Si 0.2097 0.7097 0.1625
23 Si 0.2903 0.4528 0.5000
24 Si 0.4528 0.9528 0.1625
25 Si 0.5472 0.0472 0.8375
26 Si 0.7097 0.5472 0.5000
27 Si 0.7903 0.2903 0.8375
28 Si 0.9528 0.7903 0.5000

## Properties
The calculation puts the formation energy from raw total energies at -0.48 eV/atom. The density of states at the Fermi level comes out at 14.26 states/eV/f.u. The calculation puts the uncorrected energy at -6.94 eV per atom.

=====

(2)
First-principles (GGA-PBE) data for an optimized crystal structure of Nd3SmCo, as listed in the Alexandria database.

abc: 5.4556 5.4556 5.4556
angles: 90.00 90.00 90.00
Sites, in units of the cell vectors:
1 Nd 0.0000 0.0000 0.5000
2 Nd 0.0000 0.5000 0.0000
3 Nd 0.5000 0.0000 0.0000
4 Sm 0.5000 0.5000 0.5000
5 Co 0.0000 0.0000 0.0000

## Properties
The energy of formation from the pure elements is 0.468 eV/f.u. The density of states at the Fermi level comes out at 8.70 states/eV/f.u. The calculation puts the uncorrected energy at -5.13 eV per atom. The energy above the most stable polymorph in this dataset comes out at 0.149 eV per atom.

=====

(3)
First-principles (GGA-PBE) data for an optimized crystal structure of Nd3Sm3Co2, as listed in the Alexandria database.

abc: 7.0347 7.0347 18.6684
angles: 90.00 90.00 149.49
Sites, in units of the cell vectors:
1 Nd 0.0399 0.9601 0.7500
2 Nd 0.1782 0.8218 0.0678
3 Nd 0.1782 0.8218 0.4322
4 Nd 0.8218 0.1782 0.5678
5 Nd 0.8218 0.1782 0.9322
6 Nd 0.9601 0.0399 0.2500
7 Sm 0.2371 0.7629 0.2500
8 Sm 0.4339 0.5661 0.0867
9 Sm 0.4339 0.5661 0.4133
10 Sm 0.5661 0.4339 0.5867
11 Sm 0.5661 0.4339 0.9133
12 Sm 0.7629 0.2371 0.7500
13 Co 0.1915 0.8085 0.6405
14 Co 0.1915 0.8085 0.8595
15 Co 0.8085 0.1915 0.1405
16 Co 0.8085 0.1915 0.3595

## Properties
The energy of formation from the pure elements is 0.060 eV/f.u. The density of states at the Fermi level comes out at 9.61 states/eV/f.u. The calculation puts the uncorrected energy at -5.33 eV per atom.

=====

(4)
First-principles (GGA-PBE) data for an optimized crystal structure of NdSm3Co, as listed in the Alexandria database.

abc: 7.9455 7.5774 10.0521
angles: 90.00 106.84 90.00
Sites, in units of the cell vectors:
1 Nd 0.1796 0.0584 0.2496
2 Nd 0.1796 0.4416 0.7496
3 Nd 0.8204 0.5584 0.2504
4 Nd 0.8204 0.9416 0.7504
5 Sm 0.0925 0.6976 0.0340
6 Sm 0.0925 0.8024 0.5340
7 Sm 0.2898 0.0000 0.8868
8 Sm 0.2898 0.5000 0.3868
9 Sm 0.4299 0.1291 0.6146
10 Sm 0.4299 0.3709 0.1146
11 Sm 0.5701 0.6291 0.8854
12 Sm 0.5701 0.8709 0.3854
13 Sm 0.7102 0.0000 0.1132
14 Sm 0.7102 0.5000 0.6132
15 Sm 0.9075 0.1976 0.4660
16 Sm 0.9075 0.3024 0.9660
17 Co 0.4485 0.7433 0.6034
18 Co 0.4485 0.7567 0.1034
19 Co 0.5515 0.2433 0.8966
20 Co 0.5515 0.2567 0.3966

## Properties
The energy of formation from the pure elements is 0.101 eV/f.u. The density of states at the Fermi level comes out at 5.92 states/eV/f.u. The calculation puts the uncorrected energy at -5.19 eV per atom. The energy above the most stable polymorph in this dataset comes out at 0.085 eV per atom.

=====

(5)
First-principles (GGA-PBE) data for an optimized crystal structure of Nd3Sm4Co4, as listed in the Alexandria database.

abc: 9.2640 9.2640 9.2640
angles: 156.49 122.30 63.17
Sites, in units of the cell vectors:
1 Nd 0.0000 0.0000 0.0000
2 Nd 0.3978 0.8978 0.5000
3 Nd 0.6022 0.1022 0.5000
4 Sm 0.0202 0.3345 0.6857
5 Sm 0.3512 0.6655 0.6857
6 Sm 0.6488 0.3345 0.3143
7 Sm 0.9798 0.6655 0.3143
8 Co 0.2479 0.2479 0.0000
9 Co 0.2815 0.5000 0.7815
10 Co 0.7185 0.5000 0.2185
11 Co 0.7521 0.7521 0.0000

## Properties
The energy of formation from the pure elements is 0.324 eV/f.u. The density of states at the Fermi level comes out at 11.50 states/eV/f.u. The calculation puts the uncorrected energy at -5.57 eV per atom.

=====

(6)
First-principles (GGA-PBE) data for an optimized crystal structure of NdSm3Co, as listed in the Alexandria database.

abc: 7.3042 7.3042 8.3869
angles: 124.85 124.85 70.56
Sites, in units of the cell vectors:
1 Nd 0.0465 0.0465 0.3375
2 Nd 0.9535 0.9535 0.6625
3 Sm 0.0458 0.4545 0.2065
4 Sm 0.4542 0.4542 0.7477
5 Sm 0.4545 0.0458 0.2065
6 Sm 0.5455 0.9542 0.7935
7 Sm 0.5458 0.5458 0.2523
8 Sm 0.9542 0.5455 0.7935
9 Co 0.2512 0.2512 0.8806
10 Co 0.7488 0.7488 0.1194

## Properties
The energy of formation from the pure elements is -0.325 eV/f.u. The density of states at the Fermi level comes out at 4.95 states/eV/f.u. The calculation puts the uncorrected energy at -5.27 eV per atom. The energy above the most stable polymorph in this dataset comes out at 0.000 eV per atom.

=====

(7)
First-principles (GGA-PBE) data for an optimized crystal structure of Nd2SmCo, as listed in the Alexandria database.

abc: 3.7562 9.9282 6.3384
angles: 90.00 107.22 90.00
Sites, in units of the cell vectors:
1 Nd 0.1395 0.0731 0.2773
2 Nd 0.1395 0.4269 0.2773
3 Nd 0.8605 0.5731 0.7227
4 Nd 0.8605 0.9269 0.7227
5 Sm 0.4078 0.2500 0.8166
6 Sm 0.5921 0.7500 0.1834
7 Co 0.2635 0.7500 0.5272
8 Co 0.7365 0.2500 0.4728

## Properties
The energy of formation from the pure elements is -0.200 eV/f.u. The density of states at the Fermi level comes out at 5.52 states/eV/f.u. The calculation puts the uncorrected energy at -5.39 eV per atom. The energy above the most stable polymorph in this dataset comes out at 0.022 eV per atom.

=====

(8)
First-principles (GGA-PBE) data for an optimized crystal structure of Nd2SmCo, as listed in the Alexandria database.

abc: 9.5396 9.5396 9.5396
angles: 23.37 23.37 23.37
Sites, in units of the cell vectors:
1 Nd 0.0000 0.0000 0.0000
2 Nd 0.2189 0.2189 0.2189
3 Sm 0.7753 0.7753 0.7753
4 Co 0.6097 0.6097 0.6097

## Properties
The energy of formation from the pure elements is 0.254 eV/f.u. The density of states at the Fermi level comes out at 5.29 states/eV/f.u. The calculation puts the uncorrected energy at -5.28 eV per atom. The energy above the most stable polymorph in this dataset comes out at 0.135 eV per atom.